Compound: CeMgPd3
Source: Alexandria via LeMat-Bulk
Functional: GGA-PBE
Structure: optimized geometry

Output
- Total magnetization: 0.41 μB per formula unit
- Calculated formation energy: -0.563 eV per atom

Unit cell a=8.3218 b=6.4849 c=7.5424 alpha=90.00 beta=90.00 gamma=90.00
Last column: magnetic moment on the atom in μB.
Fractional coordinates of all 20 atoms:
Ce  0.3939  0.5224  0.7500  0.38
Ce  0.1061  0.0224  0.2500  0.38
Ce  0.6061  0.4776  0.2500  0.38
Ce  0.8939  0.9776  0.7500  0.38
Mg  0.0000  0.5000  0.0000  0.00
Mg  0.5000  0.0000  0.5000  0.00
Mg  0.5000  0.0000  0.0000  0.00
Mg  0.0000  0.5000  0.5000  0.00
Pd  0.7889  0.1815  0.0678  -0.01
Pd  0.7111  0.6815  0.5678  -0.01
Pd  0.7111  0.6815  0.9322  -0.01
Pd  0.2111  0.8185  0.5678  -0.01
Pd  0.2111  0.8185  0.9322  -0.01
Pd  0.2889  0.3185  0.4322  -0.01
Pd  0.2889  0.3185  0.0678  -0.01
Pd  0.7889  0.1815  0.4322  -0.01
Pd  0.1684  0.1880  0.7500  -0.01
Pd  0.3316  0.6880  0.2500  -0.01
Pd  0.8316  0.8120  0.2500  -0.01
Pd  0.6684  0.3120  0.7500  -0.01

=====

Compound: CeCuSnN
Source: Alexandria via LeMat-Bulk
Functional: GGA-PBE
Structure: optimized geometry

Output
- Total magnetization: 0.17 μB per formula unit
- Formation energy (no corrections): -56.4 kJ/mol of atoms

Unit cell a=3.2949 b=3.2949 c=7.2302 alpha=103.17 beta=103.17 gamma=90.00
Last column: magnetic moment on the atom in μB.
Fractional coordinates of all 4 atoms:
Ce  0.6269  0.6269  0.2539  0.18
Cu  0.3055  0.3055  0.6110  -0.01
Sn  0.9153  0.9153  0.8306  -0.01
N  0.1644  0.1644  0.3287  -0.01

=====

Compound: TcGe
Source: Alexandria via LeMat-Bulk
Functional: GGA-PBE
Structure: optimized geometry

Output
- Total magnetization: 1.01 μB per formula unit
- Calculated formation energy: 0.950 eV per atom
- Energy relative to the lowest polymorph listed for this composition: 1.132 eV/atom

Unit cell a=5.6002 b=5.6002 c=5.6002 alpha=90.00 beta=90.00 gamma=90.00
Last column: magnetic moment on the atom in μB.
Fractional coordinates of all 8 atoms:
Tc  0.0000  0.0000  0.0000  1.04
Tc  0.0000  0.5000  0.5000  1.04
Tc  0.5000  0.0000  0.5000  1.04
Tc  0.5000  0.5000  0.0000  1.04
Ge  0.2500  0.2500  0.2500  -0.06
Ge  0.2500  0.7500  0.7500  -0.06
Ge  0.7500  0.2500  0.7500  -0.06
Ge  0.7500  0.7500  0.2500  -0.06

=====

Compound: OsAu
Source: Alexandria via LeMat-Bulk
Functional: GGA-PBE
Structure: optimized geometry

Output
- Total magnetization: 0.00 μB per formula unit
- Calculated formation energy: 0.898 eV per atom
- Energy relative to the lowest polymorph listed for this composition: 0.615 eV/atom

Unit cell a=4.1661 b=5.1669 c=10.6426 alpha=90.00 beta=90.00 gamma=90.00
Fractional coordinates of all 12 atoms:
Os  0.0000  0.1220  0.7714
Os  0.5000  0.8780  0.7286
Os  0.5000  0.8780  0.2714
Os  0.0000  0.1220  0.2286
Os  0.0000  0.1823  0.0000
Os  0.5000  0.8177  0.5000
Au  0.0000  0.6159  0.8554
Au  0.5000  0.3841  0.6446
Au  0.5000  0.3841  0.3554
Au  0.0000  0.6159  0.1446
Au  0.0000  0.1319  0.5000
Au  0.5000  0.8681  0.0000

=====

Compound: Ce2PaSe6
Source: Alexandria via LeMat-Bulk
Functional: GGA-PBE
Structure: optimized geometry

Output
- Total magnetization: 1.04 μB per formula unit
- Formation energy (no corrections): -143.1 kJ/mol of atoms
- Energy relative to the lowest polymorph listed for this composition: 0.046 eV/atom

Unit cell a=6.6903 b=6.6903 c=13.0981 alpha=90.00 beta=90.00 gamma=90.00
Last column: magnetic moment on the atom in μB.
Fractional coordinates of all 18 atoms:
Ce  0.0000  0.0000  0.3338  0.58
Ce  0.5000  0.5000  0.8338  0.58
Ce  0.5000  0.5000  0.1662  0.58
Ce  0.0000  0.0000  0.6662  0.58
Pa  0.0000  0.0000  0.0000  -0.03
Pa  0.5000  0.5000  0.5000  -0.03
Se  0.3090  0.3090  0.3401  -0.02
Se  0.6910  0.6910  0.3401  -0.02
Se  0.1910  0.8090  0.8401  -0.02
Se  0.8090  0.1910  0.8401  -0.02
Se  0.1910  0.8090  0.1599  -0.02
Se  0.8090  0.1910  0.1599  -0.02
Se  0.3090  0.3090  0.6599  -0.02
Se  0.6910  0.6910  0.6599  -0.02
Se  0.2970  0.2970  0.0000  -0.02
Se  0.7030  0.7030  0.0000  -0.02
Se  0.2030  0.7970  0.5000  -0.02
Se  0.7970  0.2030  0.5000  -0.02

=====

Compound: NaLaPrSn
Source: Alexandria via LeMat-Bulk
Functional: GGA-PBE
Structure: optimized geometry

Output
- Total magnetization: 0.02 μB per formula unit
- Calculated formation energy: -0.361 eV per atom

Unit cell a=5.5626 b=5.5626 c=5.5626 alpha=60.00 beta=60.00 gamma=60.00
Fractional coordinates of all 4 atoms:
Pr  0.7500  0.7500  0.7500
Na  0.5000  0.5000  0.5000
Sn  0.0000  0.0000  0.0000
La  0.2500  0.2500  0.2500

=====

Compound: Gd2PuC
Source: Alexandria via LeMat-Bulk
Functional: GGA-PBE
Structure: optimized geometry

Output
- Total magnetization: 7.48 μB per formula unit
- Calculated formation energy: 1.048 eV per atom

Unit cell a=5.4433 b=5.4433 c=4.8219 alpha=55.64 beta=55.64 gamma=60.00
Last column: magnetic moment on the atom in μB.
Fractional coordinates of all 4 atoms:
C  0.5000  0.5000  0.5000  -0.01
Gd  0.2860  0.2860  0.1420  -6.76
Gd  0.7140  0.7140  0.8580  -6.76
Pu  0.0000  0.0000  0.0000  5.73

=====

Compound: Ac2PbIO8
Source: Alexandria via LeMat-Bulk
Functional: GGA-PBE
Structure: optimized geometry

Output
- Total magnetization: 0.00 μB per formula unit
- Formation energy (no corrections): -165.4 kJ/mol of atoms

Unit cell a=5.0572 b=5.2485 c=7.6846 alpha=88.82 beta=88.22 gamma=93.54
Fractional coordinates of all 12 atoms:
Ac  0.4469  0.4696  0.7639
Ac  0.5531  0.5304  0.2361
Pb  0.0000  0.0000  0.5000
I  0.0000  0.0000  0.0000
O  0.1219  0.7618  0.1700
O  0.7097  0.7659  0.9599
O  0.8078  0.1332  0.1966
O  0.8781  0.2382  0.8300
O  0.2903  0.2341  0.0401
O  0.1922  0.8668  0.8034
O  0.6872  0.6921  0.5158
O  0.3128  0.3079  0.4842